LaYHo: relaxed, PBE-GGA.

* DOS(E_F): 5.5 states/eV/cell
* symmetry: P-6m2 (187)
* energy relative to the lowest polymorph listed for this composition: 0.045 eV/atom

Cell: 5.7128 5.7128 3.5267 Å, 90.00 90.00 120.00°
Element x y z (fractional)
La (0.0000, 0.0000, 0.0000)
Y (0.6667, 0.3333, 0.5000)
Ho (0.3333, 0.6667, 0.0000)

***

LaY6Ho4: relaxed, PBE-GGA.

* DOS(E_F): 17.2 states/eV/cell
* symmetry: I-42m (121)
* energy relative to the lowest polymorph listed for this composition: 0.306 eV/atom

Cell: 8.4831 8.4831 8.4831 Å, 125.78 125.78 80.25°
Element x y z (fractional)
La (0.0000, 0.0000, 0.0000)
Y (0.0000, 0.5000, 0.5000)
Y (0.0633, 0.5585, 0.0000)
Y (0.4415, 0.4415, 0.5048)
Y (0.5000, 0.0000, 0.5000)
Y (0.5585, 0.0633, 0.0000)
Y (0.9367, 0.9367, 0.4952)
Ho (0.2629, 0.2629, 0.6753)
Ho (0.4124, 0.7371, 0.0000)
Ho (0.5876, 0.5876, 0.3247)
Ho (0.7371, 0.4124, 0.0000)

***

La2Y7Ho: relaxed, PBE-GGA.

* DOS(E_F): 14.8 states/eV/cell
* symmetry: P-1 (2)
* energy relative to the lowest polymorph listed for this composition: 0.000 eV/atom

Cell: 6.2191 6.2429 9.5408 Å, 109.00 102.46 99.74°
Element x y z (fractional)
La (0.0991, 0.1969, 0.2017)
La (0.9009, 0.8031, 0.7983)
Y (0.2000, 0.4002, 0.8992)
Y (0.2992, 0.5980, 0.5987)
Y (0.4020, 0.8013, 0.3014)
Y (0.5000, 0.0000, 0.0000)
Y (0.5980, 0.1987, 0.6986)
Y (0.7008, 0.4020, 0.4013)
Y (0.8000, 0.5998, 0.1008)
Ho (0.0000, 0.0000, 0.5000)

***

La9YHo2: relaxed, PBE-GGA.

* DOS(E_F): 15.1 states/eV/cell
* E_tot: -59.89 eV/cell
* symmetry: P4/mmm (123)

Cell: 5.2037 5.2037 15.6078 Å, 90.00 90.00 90.00°
Element x y z (fractional)
La (0.0000, 0.0000, 0.0000)
La (0.0000, 0.0000, 0.3338)
La (0.0000, 0.0000, 0.6662)
La (0.0000, 0.5000, 0.1675)
La (0.0000, 0.5000, 0.5000)
La (0.0000, 0.5000, 0.8325)
La (0.5000, 0.0000, 0.1675)
La (0.5000, 0.0000, 0.5000)
La (0.5000, 0.0000, 0.8325)
Y (0.5000, 0.5000, 0.0000)
Ho (0.5000, 0.5000, 0.3334)
Ho (0.5000, 0.5000, 0.6666)